(1)
The following is a PBE calculation of crystalline Pm6PbS5 at its relaxed geometry, from Alexandria.

formation energy (no corrections): -1.745 eV/atom
space group: C2/m (12)

```
Pm6PbS5
1.0
3.5709 -6.1883 0.0000
3.5709 6.1883 0.0000
-2.3928 0.0000 6.7598
Pm Pb S
6 1 5
direct
0.0641 0.4127 0.7384 Pm
0.2374 0.2374 0.2589 Pm
0.4127 0.0641 0.7384 Pm
0.5873 0.9359 0.2616 Pm
0.7626 0.7626 0.7411 Pm
0.9359 0.5873 0.2616 Pm
0.5000 0.5000 0.0000 Pb
0.0000 0.0000 0.5000 S
0.1682 0.8318 0.0000 S
0.3396 0.6604 0.5000 S
0.6604 0.3396 0.5000 S
0.8318 0.1682 0.0000 S
```


(2)
The following is a PBE calculation of crystalline Cs2RbUTe4 at its relaxed geometry, from Alexandria.

formation energy (no corrections): -0.891 eV/atom
space group: P2/m (10)

```
Cs2RbUTe4
1.0
8.8958 0.0000 0.0000
0.0000 4.7511 0.0000
-2.7531 0.0000 8.7642
Cs Rb U Te
2 1 1 4
direct
0.0000 0.0000 0.0000 Cs
0.5000 0.5000 0.0000 Cs
0.0000 0.5000 0.5000 Rb
0.5000 0.0000 0.5000 U
0.2937 0.0000 0.6944 Te
0.3099 0.5000 0.3145 Te
0.6901 0.5000 0.6855 Te
0.7063 0.0000 0.3056 Te
```


(3)
The following is a PBE calculation of crystalline ScTa3As at its relaxed geometry, from Alexandria.

space group: Pm-3m (221)
relative energy among the computed polymorphs: 0 meV/atom
formation enthalpy at 0 K: 595 meV/atom

```
ScTa3As
1.0
4.7755 0.0000 0.0000
0.0000 4.7755 0.0000
0.0000 0.0000 4.7755
Sc Ta As
1 3 1
direct
0.0000 0.0000 0.0000 Sc
0.0000 0.5000 0.5000 Ta
0.5000 0.0000 0.5000 Ta
0.5000 0.5000 0.0000 Ta
0.5000 0.5000 0.5000 As
```


(4)
The following is a PBE calculation of crystalline Th5Re2Au at its relaxed geometry, from Alexandria.

space group: I4/mcm (140)
formation enthalpy at 0 K: -228 meV/atom

```
Th5Re2Au
1.0
-3.9876 3.9876 6.6699
3.9876 -3.9876 6.6699
3.9876 3.9876 -6.6699
Th Re Au
10 4 2
direct
0.0000 0.0000 0.0000 Th
0.0198 0.5198 0.8176 Th
0.2021 0.0198 0.5000 Th
0.2979 0.7979 0.8176 Th
0.4802 0.2979 0.5000 Th
0.5000 0.5000 0.0000 Th
0.5198 0.7021 0.5000 Th
0.7021 0.2021 0.1824 Th
0.7979 0.9802 0.5000 Th
0.9802 0.4802 0.1824 Th
0.1376 0.3624 0.5000 Re
0.3624 0.8624 0.2248 Re
0.6376 0.1376 0.7752 Re
0.8624 0.6376 0.5000 Re
0.2500 0.2500 0.0000 Au
0.7500 0.7500 0.0000 Au
```


(5)
The following is a PBE calculation of crystalline Cu2SiTe at its relaxed geometry, from Alexandria.

formation energy (no corrections): 0.338 eV/atom
space group: C2/m (12)
relative energy among the computed polymorphs: 274 meV/atom

```
Cu2SiTe
1.0
2.8898 -3.0457 0.0000
2.8898 3.0457 0.0000
-2.6542 0.0000 4.1679
Cu Si Te
2 1 1
direct
0.0000 0.5000 0.0000 Cu
0.5000 0.0000 0.0000 Cu
0.0000 0.0000 0.5000 Si
0.5000 0.5000 0.5000 Te
```


(6)
The following is a PBE calculation of crystalline Pm3Nd5Ho3 at its relaxed geometry, from Alexandria.

space group: P-62m (189)
relative energy among the computed polymorphs: 432 meV/atom
formation enthalpy at 0 K: 745 meV/atom

```
Pm3Nd5Ho3
1.0
9.8042 0.0000 0.0000
-4.9021 8.4907 0.0000
0.0000 0.0000 5.5350
Pm Nd Ho
3 5 3
direct
0.0000 0.4277 0.0000 Pm
0.4277 0.0000 0.0000 Pm
0.5723 0.5723 0.0000 Pm
0.0000 0.2685 0.5000 Nd
0.2685 0.0000 0.5000 Nd
0.3333 0.6667 0.5000 Nd
0.6667 0.3333 0.5000 Nd
0.7315 0.7315 0.5000 Nd
0.0000 0.6330 0.5000 Ho
0.3670 0.3670 0.5000 Ho
0.6330 0.0000 0.5000 Ho
```


Calculated volume (computed, Å³/cell): 298.8 370.4 108.9 424.2 73.4 460.8
Density (computed, g/cm³): 6.88 4.93 10.10 13.54 6.40 5.95
N(E_F) (computed, states/eV/f.u.): 4.56 5.50 5.67 9.20 1.74 19.52